# LaReSiP2

A relaxed LaReSiP2 crystal (PBE, Alexandria via LeMat-Bulk).

abc: 4.7341 4.7341 4.6663
angles: 90.00 90.00 90.00
Space group P4/mmm (No. 123)
Inequivalent atoms, fractional coordinates:
La 0.0000 0.0000 0.0000 (multiplicity 1)
Re 0.5000 0.5000 0.5000 (multiplicity 1)
Si 0.5000 0.5000 0.0000 (multiplicity 1)
P 0.0000 0.5000 0.5000 (multiplicity 2)

Output
The density comes out at 6.592 g/cm3. As for the uncorrected formation energy: -0.1208 eV per atom.